1.
Below is LaPm3Ho8 after structural relaxation, with properties calculated at the PBE level.

Cell and atoms, written as extended XYZ:
```
12
Lattice="-3.709 4.290 -6.610 7.963 -2.876 2.046 -3.730 -7.746 -1.392" Properties=species:S:1:pos:R:3 pbc="T T T"
Ho -1.360 2.228 -5.062
Ho -0.828 -0.526 -3.160
Ho 0.750 -3.073 -4.734
Ho -0.229 -3.260 -1.221
Ho 5.022 -4.101 1.152
Ho 1.352 -5.809 -2.797
Ho 1.885 -8.559 -0.897
Ho -4.500 -2.229 -7.109
La 4.254 1.414 -4.565
Pm -2.675 -4.349 -3.840
Pm 3.199 -1.983 -2.117
Pm -1.593 -1.021 -6.284
```

## Properties
Space-group type: Immm (71)
Spin magnetization, μB per formula unit: 0.000
DOS(E_F), states/eV per cell: 16.37
Energy of formation from the pure elements, meV per atom: 297



2.
Below is ZnICl2 after structural relaxation, with properties calculated at the PBE level.

Cell and atoms, written as extended XYZ:
```
8
Lattice="7.318 0.000 0.000 0.000 7.318 0.000 3.659 3.659 4.702" Properties=species:S:1:pos:R:3 pbc="T T T"
Cl 4.401 1.830 1.175
Cl 9.148 8.060 3.526
Cl 2.918 5.489 1.175
Cl 5.489 6.577 3.526
I 7.318 3.659 2.351
I 0.000 0.000 0.000
Zn 3.659 7.318 2.351
Zn 3.659 3.659 0.000
```

## Properties
Space-group type: I-42d (122)
E_tot, eV for the cell shown: -17.07
Spin magnetization, μB per formula unit: 1.000
DOS(E_F), states/eV per cell: 2.36



3.
Below is IrRuRh2 after structural relaxation, with properties calculated at the PBE level.

Cell and atoms, written as extended XYZ:
```
4
Lattice="-3.933 -1.141 2.343 0.721 -3.933 2.504 2.428 4.028 -0.318" Properties=species:S:1:pos:R:3 pbc="T T T"
Rh -3.212 -5.074 4.846
Rh -1.606 -2.537 2.423
Ir 0.771 -1.221 2.304
Ru -1.555 0.175 2.224
```

## Properties
Space-group type: Fmmm (69)
Spin magnetization, μB per formula unit: 0.000
DOS(E_F), states/eV per cell: 4.40
Energy of formation from the pure elements, meV per atom: 16